VASP calculation (PBE+U) on crystalline Pm2TmMnO6 at its relaxed geometry.

Lattice parameters (Å, degrees): 5.3751 5.3751 5.1362 90.00 90.00 90.00
Closest atoms and distances in Å follow each position.
Space group P4mm (No. 99)
Unique sites:
Pm1 0.0000 0.5000 0.0000 (multiplicity 2)  4 O 2.36
Tm1 0.0000 0.0000 0.5607 (multiplicity 1)  5 O 2.11-2.13
Mn1 0.5000 0.5000 0.6181 (multiplicity 1)  5 O 1.93-2.12
O1 0.0000 0.0000 0.1502 (multiplicity 1)  1 Tm 2.11
O2 0.2571 0.2571 0.7275 (multiplicity 4)  1 Mn 1.93, 1 Tm 2.13
O3 0.5000 0.5000 0.2053 (multiplicity 1)  1 Mn 2.12

Raw total energy (eV for the cell shown): -79.44
Magnetization (μB/cell): 4.0
Calculated volume (Å³ per atom): 14.8